Record 1
VASP calculation (PBE) on Gd2HgPb after structural relaxation.

Cell and atoms, written as extended XYZ:
```
4
Lattice="5.124 0.000 0.000 0.000 5.124 0.000 0.000 0.000 4.193" Properties=species:S:1:pos:R:3 pbc="T T T"
Gd 0.000 2.562 0.000
Gd 2.562 0.000 0.000
Hg 0.000 0.000 2.097
Pb 2.562 2.562 2.097
```

raw total energy = -8.56 eV per atom
space group = P4/mmm (123)
total magnetization = 14.87 μB/f.u.

***

Record 2
VASP calculation (PBE) on Gd2HgPb after structural relaxation.

Cell and atoms, written as extended XYZ:
```
4
Lattice="1.939 1.119 9.201 -1.939 1.119 9.201 0.000 -2.238 9.201" Properties=species:S:1:pos:R:3 pbc="T T T"
Gd 0.000 0.000 6.830
Gd 0.000 0.000 20.773
Hg 0.000 0.000 13.801
Pb 0.000 0.000 0.000
```

raw total energy = -8.39 eV per atom
space group = R-3m (166)
total magnetization = 14.49 μB/f.u.

***

Record 3
VASP calculation (PBE) on GdHg2Pb after structural relaxation.

Cell and atoms, written as extended XYZ:
```
4
Lattice="4.600 0.000 0.000 0.000 4.600 0.000 0.000 0.000 4.896" Properties=species:S:1:pos:R:3 pbc="T T T"
Gd 0.000 0.000 0.000
Hg 0.000 2.300 2.448
Hg 2.300 0.000 2.448
Pb 2.300 2.300 0.000
```

raw total energy = -4.96 eV per atom
space group = P4/mmm (123)
offset from the most stable computed form = 0 meV per atom
total magnetization = 7.10 μB/f.u.

***

The records above give, respectively, energy of formation from the pure elements values of -50.2, -33.9, -34.9 kJ/mol of atoms.